[1]
Compound: KTeRu
Source: Alexandria via LeMat-Bulk
Functional: PBE-GGA
Structure: optimized geometry

Geometry as POSCAR:
```
KTeRu
1.0
0.000 3.356 3.356
3.356 0.000 3.356
3.356 3.356 0.000
K Te Ru
1 1 1
Direct
0.000 0.000 0.000 K
0.500 0.500 0.500 Te
0.250 0.250 0.250 Ru
```

Its calculated density is 5.88 g cm⁻³. Its calculated total energy is -12.0 eV per formula unit. The value obtained for the spin magnetization is 0.00 μB per formula unit. Its polymorph energy (0 for the lowest one) is 786 meV per atom.

=====

[2]
Compound: Nd6Si2Ag
Source: Alexandria via LeMat-Bulk
Functional: PBE-GGA
Structure: optimized geometry

Geometry as POSCAR:
```
Nd6Si2Ag
1.0
-4.995 5.003 5.185
4.995 -5.003 5.185
4.995 5.003 -5.185
Nd Si Ag
12 4 2
Direct
0.049 0.249 0.800 Nd
0.175 0.269 0.444 Nd
0.175 0.731 0.906 Nd
0.325 0.028 0.703 Nd
0.325 0.621 0.297 Nd
0.449 0.249 0.200 Nd
0.551 0.751 0.800 Nd
0.675 0.379 0.703 Nd
0.675 0.972 0.297 Nd
0.825 0.269 0.094 Nd
0.825 0.731 0.556 Nd
0.951 0.751 0.200 Nd
0.115 0.615 0.500 Si
0.365 0.000 0.365 Si
0.635 0.000 0.635 Si
0.885 0.385 0.500 Si
0.000 0.000 0.000 Ag
0.500 0.500 0.000 Ag
```

Its calculated density is 6.60 g cm⁻³. Its calculated total energy is -45.8 eV per formula unit. The value obtained for the spin magnetization is 0.00 μB per formula unit.

=====

[3]
Compound: Pm4GeAsBr2
Source: Alexandria via LeMat-Bulk
Functional: PBE-GGA
Structure: optimized geometry

Geometry as POSCAR:
```
Pm4GeAsBr2
1.0
7.365 0.000 0.000
0.000 4.261 0.000
-2.459 0.000 7.225
Pm Ge As Br
4 1 1 2
Direct
0.235 0.000 0.211 Pm
0.262 0.500 0.791 Pm
0.738 0.500 0.209 Pm
0.765 0.000 0.789 Pm
0.000 0.500 0.000 Ge
0.500 0.000 0.000 As
0.000 0.000 0.500 Br
0.500 0.500 0.500 Br
```

Its calculated density is 6.50 g cm⁻³. Its calculated total energy is -41.9 eV per formula unit. The value obtained for the spin magnetization is 0.00 μB per formula unit.